{"formula": "CaMnP2O7", "functional": "PBE+U", "state": "relaxed", "energy_ev_per_fu": -81.94, "mass_density_g_cm3": 3.1, "lattice": [[6.018, 0.000, 0.000], [2.297, 6.327, 0.000], [0.388, 1.039, 7.541]], "species": ["Ca", "Ca", "Mn", "Mn", "P", "P", "P", "P", "O", "O", "O", "O", "O", "O", "O", "O", "O", "O", "O", "O", "O", "O"], "frac_coords": [[0.183, 0.336, 0.335], [0.817, 0.664, 0.665], [0.238, 0.864, 0.799], [0.762, 0.136, 0.201], [0.269, 0.792, 0.391], [0.333, 0.332, 0.884], [0.667, 0.668, 0.116], [0.731, 0.208, 0.609], [0.121, 0.015, 0.301], [0.121, 0.650, 0.450], [0.162, 0.563, 0.845], [0.234, 0.170, 0.833], [0.420, 0.807, 0.542], [0.425, 0.284, 0.076], [0.437, 0.669, 0.240], [0.563, 0.331, 0.760], [0.575, 0.716, 0.924], [0.580, 0.193, 0.458], [0.766, 0.830, 0.167], [0.838, 0.437, 0.155], [0.879, 0.350, 0.550], [0.879, 0.985, 0.699]]}